1.
Here is a relaxed Ce2AlB2Ir5 crystal from Alexandria. Energies are from PBE-GGA.

ΔE_f: -0.68 eV per atom

Lattice parameters (Å, degrees): 9.5461 9.5461 3.3185 90.00 90.00 90.00
Closest atoms and distances in Å follow each position.
Space group P4/mbm (No. 127)
Asymmetric unit:
Ce 0.1778 0.3222 0.0000 (multiplicity 4)  3 B 2.73-2.90, 10 Ir 2.92-3.04
Al 0.0000 0.0000 0.0000 (multiplicity 2)  8 Ir 2.75
B 0.1203 0.6203 0.0000 (multiplicity 4)  6 Ir 2.31-2.32
Ir 0.0000 0.5000 0.5000 (multiplicity 2)  4 B 2.32
Ir 0.0689 0.7802 0.5000 (multiplicity 8)  2 B 2.31

2.
Here is a relaxed Pm6Ir2PbSe3 crystal from Alexandria. Energies are from PBE-GGA.

energy relative to the elements, uncorrected: -1.1817 eV/atom

Lattice parameters (Å, degrees): 19.1677 4.1533 8.8030 90.00 109.29 90.00
Closest atoms and distances in Å follow each position.
Space group C2/m (No. 12)
Asymmetric unit:
Pm 0.0016 0.0000 0.2684 (multiplicity 4)  3 Se 2.92-3.00, 1 Ir 2.95, 2 Pb 3.14
Pm 0.1752 0.5000 0.0979 (multiplicity 4)  2 Ir 2.89, 3 Se 2.93-3.13, 1 Pb 3.18
Pm 0.1801 0.5000 0.5560 (multiplicity 4)  3 Ir 2.88-2.91
Ir 0.1611 0.0000 0.3135 (multiplicity 4)  6 Pm 2.88-2.95
Pb 0.0000 0.5000 0.0000 (multiplicity 2)  6 Pm 3.14-3.18
Se 0.0000 0.5000 0.5000 (multiplicity 2)  4 Pm 2.92
Se 0.1637 0.0000 0.8250 (multiplicity 4)  6 Pm 2.93-3.24

3.
Here is a relaxed Y5Co crystal from Alexandria. Energies are from PBE-GGA.

ΔE_f: 0.12 eV per atom
relative energy among the computed polymorphs: 0.1452 eV per atom

Lattice parameters (Å, degrees): 3.7473 16.5743 5.5122 90.00 90.00 90.00
Closest atoms and distances in Å follow each position.
Space group Cmmm (No. 65)
Asymmetric unit:
Y 0.0000 0.0000 0.0000 (multiplicity 2)  4 Co 3.33, 8 Y 3.38-3.43
Y 0.0000 0.1232 0.5000 (multiplicity 4)  2 Co 2.77
Y 0.0000 0.3306 0.0000 (multiplicity 4)  8 Y 3.26-3.42
Co 0.0000 0.5000 0.5000 (multiplicity 2)  4 Y 2.77